{
  "formula": "KTa2Hg",
  "functional": "PBE",
  "state": "relaxed",
  "lattice": [[2.873, 0.000, 0.000], [0.000, 2.873, 0.000], [0.000, 0.000, 11.184]],
  "species": ["K", "Ta", "Ta", "Hg"],
  "fractional_positions": [[0.000, 0.000, 0.000], [0.500, 0.500, 0.294], [0.500, 0.500, 0.706], [0.000, 0.000, 0.500]],
  "dft_energy_ev_per_atom": -5.283,
  "magmom_total_mub_per_cell": 0.001
}


{
  "formula": "Tb2Sm4Y2Mg",
  "functional": "PBE",
  "state": "relaxed",
  "lattice": [[6.466, 0.000, 0.000], [0.384, 6.519, 0.000], [2.034, 1.858, 7.002]],
  "species": ["Tb", "Tb", "Sm", "Sm", "Sm", "Sm", "Y", "Y", "Mg"],
  "fractional_positions": [[0.168, 0.203, 0.302], [0.832, 0.797, 0.698], [0.136, 0.181, 0.781], [0.317, 0.666, 0.402], [0.683, 0.334, 0.598], [0.864, 0.819, 0.219], [0.291, 0.630, 0.893], [0.709, 0.370, 0.107], [0.500, 0.000, 0.000]],
  "dft_energy_ev_per_atom": -4.654,
  "magmom_total_mub_per_cell": 0.000
}